(1)
# AcPmHo2In4

AcPmHo2In4 after structural relaxation (PBE, the Alexandria database).

Values from the calculation:
ΔE_f = -0.428 eV/atom
Calculated volume = 231.8 Å³ per cell

Unit cell a=5.4661 b=5.4661 c=9.4992 alpha=73.28 beta=73.28 gamma=60.00
With the nearest neighbours (Å) after each atom.
Fractional positions:
Ac 0.0000 0.0000 0.0000  8 In 3.38-3.43
Pm 0.5000 0.5000 0.5000  8 In 3.28-3.33
Ho 0.7503 0.7503 0.7491  8 In 3.28-3.45
Ho 0.2497 0.2497 0.2509  8 In 3.28-3.45
In 0.3781 0.3781 0.8657  1 Pm 3.28, 4 Ho 3.32-3.45, 3 Ac 3.38
In 0.8724 0.8724 0.3827  4 Ho 3.28-3.37, 3 Pm 3.33, 1 Ac 3.43
In 0.1276 0.1276 0.6173  4 Ho 3.28-3.37, 3 Pm 3.33, 1 Ac 3.43
In 0.6219 0.6219 0.1343  1 Pm 3.28, 4 Ho 3.32-3.45, 3 Ac 3.38

---

(2)
# AcPrHoIn

AcPrHoIn after structural relaxation (PBE, the Alexandria database).

Values from the calculation:
ΔE_f = -0.059 eV/atom
Calculated volume = 129.0 Å³ per cell

Unit cell a=5.6708 b=5.6708 c=5.6708 alpha=60.00 beta=60.00 gamma=60.00
With the nearest neighbours (Å) after each atom.
Fractional positions:
Pr 0.2500 0.2500 0.2500  4 In 3.47, 4 Ac 3.47
Ac 0.5000 0.5000 0.5000  4 Ho 3.47, 4 Pr 3.47
Ho 0.7500 0.7500 0.7500  4 Ac 3.47, 4 In 3.47
In 0.0000 0.0000 0.0000  4 Pr 3.47, 4 Ho 3.47

---

(3)
# Ac2HoIn12Pt3

Ac2HoIn12Pt3 after structural relaxation (PBE, the Alexandria database).

Values from the calculation:
ΔE_f = -0.143 eV/atom
Calculated volume = 543.4 Å³ per cell

Unit cell a=8.7757 b=8.7757 c=8.7757 alpha=66.35 beta=66.35 gamma=66.35
With the nearest neighbours (Å) after each atom.
Fractional positions:
Ac 0.5842 0.5842 0.5842  6 In 3.29-3.42, 1 Ac 3.44
Ac 0.4158 0.4158 0.4158  6 In 3.29-3.42, 1 Ac 3.44
Ho 0.0000 0.0000 0.0000  12 In 3.47-3.53
In 0.2695 0.2695 0.8576  2 Pt 2.66
In 0.8359 0.8359 0.4447  1 Pt 2.68
In 0.4447 0.8359 0.8359  1 Pt 2.68
In 0.8576 0.2695 0.2695  2 Pt 2.66
In 0.8359 0.4447 0.8359  1 Pt 2.68
In 0.2695 0.8576 0.2695  2 Pt 2.66
In 0.7305 0.7305 0.1424  2 Pt 2.66
In 0.1641 0.1641 0.5553  1 Pt 2.68
In 0.5553 0.1641 0.1641  1 Pt 2.68
In 0.1424 0.7305 0.7305  2 Pt 2.66
In 0.1641 0.5553 0.1641  1 Pt 2.68
In 0.7305 0.1424 0.7305  2 Pt 2.66
Pt 0.5000 0.0000 0.0000  6 In 2.66-2.68
Pt 0.0000 0.5000 0.0000  6 In 2.66-2.68
Pt 0.0000 0.0000 0.5000  6 In 2.66-2.68

---

(4)
# AcHoInPt

AcHoInPt after structural relaxation (PBE, the Alexandria database).

Values from the calculation:
ΔE_f = -0.607 eV/atom
Calculated volume = 109.1 Å³ per cell

Unit cell a=5.3636 b=5.3636 c=5.3636 alpha=60.00 beta=60.00 gamma=60.00
With the nearest neighbours (Å) after each atom.
Fractional positions:
Ac 0.5000 0.5000 0.5000  4 Pt 3.28, 4 In 3.28
Ho 0.0000 0.0000 0.0000  4 In 3.28, 4 Pt 3.28
Pt 0.7500 0.7500 0.7500  4 Ac 3.28, 4 Ho 3.28
In 0.2500 0.2500 0.2500  4 Ac 3.28, 4 Ho 3.28

---

(5)
# AcHoPuIn

AcHoPuIn after structural relaxation (PBE, the Alexandria database).

Values from the calculation:
ΔE_f = 0.079 eV/atom
Calculated volume = 122.4 Å³ per cell

Unit cell a=5.5734 b=5.5734 c=5.5734 alpha=60.00 beta=60.00 gamma=60.00
With the nearest neighbours (Å) after each atom.
Fractional positions:
Ac 0.5000 0.5000 0.5000  4 Pu 3.41, 4 Ho 3.41
In 0.0000 0.0000 0.0000  4 Ho 3.41, 4 Pu 3.41
Ho 0.7500 0.7500 0.7500  4 In 3.41, 4 Ac 3.41
Pu 0.2500 0.2500 0.2500  4 Ac 3.41, 4 In 3.41

---

(6)
# AcHoInRh

AcHoInRh after structural relaxation (PBE, the Alexandria database).

Values from the calculation:
ΔE_f = -0.389 eV/atom
Calculated volume = 106.8 Å³ per cell

Unit cell a=5.3254 b=5.3254 c=5.3254 alpha=60.00 beta=60.00 gamma=60.00
With the nearest neighbours (Å) after each atom.
Fractional positions:
Ac 0.2500 0.2500 0.2500  4 In 3.26, 4 Rh 3.26
Rh 0.0000 0.0000 0.0000  4 Ac 3.26, 4 Ho 3.26
Ho 0.7500 0.7500 0.7500  4 In 3.26, 4 Rh 3.26
In 0.5000 0.5000 0.5000  4 Ac 3.26, 4 Ho 3.26

---

(7)
# Ac2HoIn12Rh3

Ac2HoIn12Rh3 after structural relaxation (PBE, the Alexandria database).

Values from the calculation:
ΔE_f = -0.049 eV/atom
Calculated volume = 533.5 Å³ per cell

Unit cell a=8.7519 b=8.7519 c=8.7519 alpha=65.79 beta=65.79 gamma=65.79
With the nearest neighbours (Å) after each atom.
Fractional positions:
Ac 0.5858 0.5858 0.5858  6 In 3.30-3.47, 1 Ac 3.51
Ac 0.4142 0.4142 0.4142  6 In 3.30-3.47, 1 Ac 3.51
Ho 0.0000 0.0000 0.0000  12 In 3.42-3.50
In 0.2669 0.2669 0.8670  2 Rh 2.60
In 0.8390 0.8390 0.4440  1 Rh 2.64
In 0.4440 0.8390 0.8390  1 Rh 2.64
In 0.8670 0.2669 0.2669  2 Rh 2.60
In 0.8390 0.4440 0.8390  1 Rh 2.64
In 0.2669 0.8670 0.2669  2 Rh 2.60
In 0.7331 0.7331 0.1330  2 Rh 2.60
In 0.1610 0.1610 0.5560  1 Rh 2.64
In 0.5560 0.1610 0.1610  1 Rh 2.64
In 0.1330 0.7331 0.7331  2 Rh 2.60
In 0.1610 0.5560 0.1610  1 Rh 2.64
In 0.7331 0.1330 0.7331  2 Rh 2.60
Rh 0.5000 0.0000 0.0000  6 In 2.60-2.64
Rh 0.0000 0.5000 0.0000  6 In 2.60-2.64
Rh 0.0000 0.0000 0.5000  6 In 2.60-2.64

---

(8)
# AcHoInRu

AcHoInRu after structural relaxation (PBE, the Alexandria database).

Values from the calculation:
ΔE_f = -0.134 eV/atom
Calculated volume = 104.5 Å³ per cell

Unit cell a=5.2875 b=5.2875 c=5.2875 alpha=60.00 beta=60.00 gamma=60.00
With the nearest neighbours (Å) after each atom.
Fractional positions:
Ru 0.7500 0.7500 0.7500  4 Ho 3.24, 4 Ac 3.24
Ac 0.0000 0.0000 0.0000  4 In 3.24, 4 Ru 3.24
Ho 0.5000 0.5000 0.5000  4 Ru 3.24, 4 In 3.24
In 0.2500 0.2500 0.2500  4 Ac 3.24, 4 Ho 3.24

---

(9)
# Ac2HoInS6

Ac2HoInS6 after structural relaxation (PBE, the Alexandria database).

Values from the calculation:
Uncorrected formation energy = -1.6993 eV/atom
Calculated volume = 270.7 Å³ per cell

Unit cell a=7.2127 b=7.2126 c=7.3113 alpha=60.44 beta=60.44 gamma=60.00
With the nearest neighbours (Å) after each atom.
Fractional positions:
Ac 0.5328 0.5328 0.4017  6 S 2.98-3.05
Ac 0.0355 0.0355 0.8934  6 S 2.96-3.08
Ho 0.8148 0.8148 0.5556  6 S 2.67-2.75
In 0.3142 0.3142 0.0575  6 S 2.61-2.71
S 0.5924 0.1744 0.2649  1 In 2.61, 1 Ho 2.75
S 0.1744 0.9684 0.2649  1 In 2.61, 1 Ho 2.75
S 0.9684 0.5924 0.2649  1 In 2.61, 1 Ho 2.75
S 0.4629 0.6692 0.7708  1 Ho 2.67, 1 In 2.71, 1 Ac 2.96
S 0.6692 0.0971 0.7708  1 Ho 2.67, 1 In 2.71, 1 Ac 2.96
S 0.0971 0.4629 0.7708  1 Ho 2.67, 1 In 2.71, 1 Ac 2.96

---

(10)
# AcHoScIn

AcHoScIn after structural relaxation (PBE, the Alexandria database).

Values from the calculation:
ΔE_f = -0.007 eV/atom
Calculated volume = 116.8 Å³ per cell

Unit cell a=5.4870 b=5.4870 c=5.4870 alpha=60.00 beta=60.00 gamma=60.00
With the nearest neighbours (Å) after each atom.
Fractional positions:
Sc 0.7500 0.7500 0.7500  4 Ac 3.36, 4 In 3.36
Ac 0.5000 0.5000 0.5000  4 Ho 3.36, 4 Sc 3.36
Ho 0.2500 0.2500 0.2500  4 In 3.36, 4 Ac 3.36
In 0.0000 0.0000 0.0000  4 Sc 3.36, 4 Ho 3.36

---

(11)
# Ac2HoInSe5

Ac2HoInSe5 after structural relaxation (PBE, the Alexandria database).

Values from the calculation:
Uncorrected formation energy = -1.5447 eV/atom
Calculated volume = 518.8 Å³ per cell

Unit cell a=4.2799 b=9.2235 c=13.5109 alpha=90.00 beta=90.00 gamma=103.42
With the nearest neighbours (Å) after each atom.
Fractional positions:
Ac 0.8656 0.7312 0.8033  8 Se 3.19-3.41
Ac 0.1108 0.2215 0.6843  6 Se 3.12-3.32
Ac 0.1344 0.2688 0.3033  8 Se 3.19-3.41
Ac 0.8892 0.7785 0.1843  6 Se 3.12-3.32
Ho 0.7968 0.5936 0.5113  6 Se 2.84-2.95
Ho 0.2032 0.4064 0.0113  6 Se 2.84-2.95
In 0.5339 0.0678 0.9590  4 Se 2.79-3.11
In 0.4661 0.9322 0.4590  4 Se 2.79-3.11
Se 0.3613 0.7225 0.9997  1 Ho 2.84, 1 In 3.15
Se 0.6910 0.3820 0.8622  2 Ho 2.95, 1 In 3.11, 1 Ac 3.23
Se 0.4925 0.9851 0.7575  1 In 2.82
Se 0.2836 0.5673 0.6590  2 Ho 2.94, 3 Ac 3.12-3.25
Se 0.9443 0.8887 0.5877  2 In 2.79, 1 Ho 2.84
Se 0.6387 0.2775 0.4997  1 Ho 2.84, 1 In 3.15
Se 0.3090 0.6180 0.3622  2 Ho 2.95, 1 In 3.11, 1 Ac 3.23
Se 0.5075 0.0149 0.2575  1 In 2.82
Se 0.7164 0.4327 0.1590  2 Ho 2.94, 3 Ac 3.12-3.25
Se 0.0557 0.1113 0.0877  2 In 2.79, 1 Ho 2.84

---

(12)
# AcHoIn2Se4

AcHoIn2Se4 after structural relaxation (PBE, the Alexandria database).

Values from the calculation:
Uncorrected formation energy = -1.2988 eV/atom
Calculated volume = 252.3 Å³ per cell

Unit cell a=4.3395 b=8.1010 c=7.5407 alpha=72.11 beta=90.00 gamma=90.00
With the nearest neighbours (Å) after each atom.
Fractional positions:
Ac 0.5000 0.5000 0.0000  6 Se 3.09-3.10
Ho 0.0000 0.5000 0.5000  6 Se 2.89-2.93
In 0.0000 0.0000 0.0000  6 Se 3.42-3.44
In 0.5000 0.0000 0.5000  6 Se 3.26-3.27
Se 0.0000 0.7178 0.7404  1 Ho 2.89, 2 Ac 3.09
Se 0.0000 0.2822 0.2596  1 Ho 2.89, 2 Ac 3.09
Se 0.5000 0.7095 0.2816  2 Ho 2.93, 1 Ac 3.10, 1 In 3.26
Se 0.5000 0.2905 0.7184  2 Ho 2.93, 1 Ac 3.10, 1 In 3.26

---

Values of ρ, in order: 8317; 8340; 7890; 10681; 10183; 9480; 7176; 9656; 5680; 7843; 7224; 6170, all in kg/m³.
Values of total magnetic moment, in order: 0.000; 0.000; 0.000; 0.000; 1.730; 0.000; 0.000; 0.000; 0.000; 0.371; 0.000; 0.000, all in μB per atom.